## V3O7 (PBEsol)

Data for a relaxed structure of V3O7.

- polymorph energy (0 for the lowest one) (meV per atom) = 21
- formation energy (no corrections) (meV per atom) = -2312
- total magnetization (μB per atom) = 0.0470

Cell: 21.9957 3.5936 18.2695 Å, 90.00 96.88 90.00°
Last column: nearest neighbours and their distance in Å.
Space group C2/c (No. 15)
Symmetry-distinct sites (fractional):
1 V 0.0000 0.2495 0.2500 [4 per cell]  6 O 1.80-2.01
2 V 0.0335 0.2495 0.4480 [8 per cell]  2 O 1.65-1.74
3 V 0.1626 0.2494 0.2513 [8 per cell]  2 O 1.64-1.70
4 V 0.1700 0.2501 0.6211 [8 per cell]  2 O 1.59-1.75
5 V 0.1924 0.2615 0.4387 [8 per cell]  5 O 1.76-1.96
6 O 0.0000 0.2502 0.7500 [4 per cell]  2 V 1.80
7 O 0.0047 0.2496 0.3603 [8 per cell]  1 V 1.65
8 O 0.0283 0.2500 0.9792 [8 per cell]  3 V 1.89-2.01
9 O 0.0889 0.2499 0.2587 [8 per cell]  1 V 1.64
10 O 0.1001 0.2508 0.5856 [8 per cell]  1 V 1.59
11 O 0.1113 0.2516 0.4377 [8 per cell]  2 V 1.74-1.78
12 O 0.1771 0.2502 0.7299 [8 per cell]  3 V 1.87-1.97
13 O 0.1839 0.2498 0.1501 [8 per cell]  3 V 1.89-1.96
14 O 0.1951 0.2483 0.9397 [8 per cell]  2 V 1.76-1.83
15 O 0.2003 0.2505 0.3384 [8 per cell]  2 V 1.70-1.86
16 O 0.2126 0.2497 0.5459 [8 per cell]  2 V 1.75-1.96



## Rb2Tl2Bi (PBEsol)

Data for a relaxed structure of Rb2Tl2Bi.

- total magnetization (μB per atom) = 0.0002
- E_form (meV/atom) = -136

Cell: 8.2017 8.2017 5.8377 Å, 90.00 90.00 90.00°
Last column: nearest neighbours and their distance in Å.
Space group P4/mbm (No. 127)
Symmetry-distinct sites (fractional):
1 Rb 0.1861 0.3139 0.0000 [4 per cell]  6 Tl 3.62-3.93
2 Tl 0.1290 0.6290 0.5000 [4 per cell]  1 Tl 2.99, 2 Bi 3.22
3 Bi 0.0000 0.0000 0.5000 [2 per cell]  4 Tl 3.22



## Ga2PdRhSe (PBEsol)

Data for a relaxed structure of Ga2PdRhSe.

- formation energy (no corrections) (meV per atom) = 257
- total magnetization (μB per atom) = 0.0000

Cell: 4.6289 4.6289 4.8094 Å, 90.00 90.00 90.00°
Last column: nearest neighbours and their distance in Å.
Space group P4/mmm (No. 123)
Symmetry-distinct sites (fractional):
1 Ga 0.0000 0.5000 0.0000 [2 per cell]  2 Rh 2.31
2 Pd 0.0000 0.0000 0.5000 [1 per cell]  4 Se 3.27, 8 Ga 3.34
3 Rh 0.5000 0.5000 0.0000 [1 per cell]  4 Ga 2.31, 2 Se 2.40
4 Se 0.5000 0.5000 0.5000 [1 per cell]  2 Rh 2.40



## AsRu2Pb (PBEsol)

Data for a relaxed structure of AsRu2Pb.

- polymorph energy (0 for the lowest one) (meV per atom) = 0
- total magnetization (μB per atom) = 0.0000
- E_form (meV/atom) = 227

Cell: 3.1412 3.7338 11.6561 Å, 90.00 90.00 90.00°
Last column: nearest neighbours and their distance in Å.
Space group Imm2 (No. 44)
Symmetry-distinct sites (fractional):
1 As 0.0000 0.0000 0.0000 [2 per cell]  6 Ru 2.40-2.53
2 Ru 0.0000 0.0000 0.5587 [2 per cell]  4 As 2.53, 2 Pb 2.82
3 Ru 0.0000 0.5000 0.3446 [2 per cell]  2 As 2.40
4 Pb 0.0000 0.5000 0.7403 [2 per cell]  6 Ru 2.73-2.82



## HgP (PBEsol)

Data for a relaxed structure of HgP.

- polymorph energy (0 for the lowest one) (meV per atom) = 7
- total magnetization (μB per atom) = 0.0000
- E_form (meV/atom) = 60

Cell: 3.2221 3.2221 9.8770 Å, 90.00 90.00 120.00°
Last column: nearest neighbours and their distance in Å.
Space group P-3m1 (No. 164)
Symmetry-distinct sites (fractional):
1 Hg 0.3333 0.6667 0.1421 [2 per cell]  9 Hg 3.22-3.37, 3 P 3.45
2 P 0.3333 0.6667 0.5636 [2 per cell]  3 P 2.24



## Zr2AlZn (PBEsol)

Data for a relaxed structure of Zr2AlZn.

- total magnetization (μB per atom) = 0.0001
- E_form (meV/atom) = -365

Cell: 3.0170 3.0170 8.0156 Å, 90.00 90.00 90.00°
Last column: nearest neighbours and their distance in Å.
Space group P4/mmm (No. 123)
Symmetry-distinct sites (fractional):
1 Zr 0.0000 0.0000 0.2451 [2 per cell]  4 Zn 2.90, 4 Al 2.95, 4 Zr 3.02
2 Al 0.5000 0.5000 0.5000 [1 per cell]  8 Zr 2.95, 4 Al 3.02
3 Zn 0.5000 0.5000 0.0000 [1 per cell]  8 Zr 2.90, 4 Zn 3.02